# NaFeBO3 PBE+U optimized geometry
data_NaFeBO3
_cell_length_a 5.184
_cell_length_b 5.184
_cell_length_c 5.704
_cell_angle_alpha 95.63
_cell_angle_beta 95.63
_cell_angle_gamma 120.82
_symmetry_space_group_name_H-M 'P 1'
_symmetry_Int_Tables_number 1
_symmetry_space_group_name_Hall 'P 1'
loop_
_atom_site_label
_atom_site_fract_x
_atom_site_fract_y
_atom_site_fract_z
_atom_site_occupancy
Na1 0.160 0.840 0.750 1
Na2 0.840 0.160 0.250 1
Fe1 0.500 0.500 0.000 1
Fe2 0.500 0.500 0.500 1
B1 0.174 0.826 0.250 1
B2 0.826 0.174 0.750 1
O1 0.118 0.317 0.697 1
O2 0.317 0.118 0.197 1
O3 0.329 0.671 0.250 1
O4 0.671 0.329 0.750 1
O5 0.683 0.882 0.803 1
O6 0.882 0.683 0.303 1
# Fermi-level density of states ... 0.00 states/eV/f.u.
# Uncorrected energy ... -80.32 eV per cell
# V ... 129.0 Å³/cell